Entry 1:
Density functional theory data (GGA-PBE) for Sm6Y3ErSc2 after structural relaxation.

Formation energy from the elements   0.036 eV per atom
Total magnetization   0.00 μB/atom

Cell: 6.158 6.158 11.619 Å, 95.05 95.05 119.97°
Fractional coordinates of all 12 atoms:
1 Sm 0.083 0.419 0.757
2 Sm 0.245 0.245 0.243
3 Sm 0.419 0.083 0.757
4 Sm 0.581 0.917 0.243
5 Sm 0.755 0.755 0.757
6 Sm 0.917 0.581 0.243
7 Y 0.000 0.000 0.500
8 Y 0.333 0.667 0.500
9 Y 0.667 0.333 0.500
10 Er 0.500 0.500 0.000
11 Sc 0.167 0.833 0.000
12 Sc 0.833 0.167 0.000

Entry 2:
Density functional theory data (GGA-PBE) for MgTiFeNi after structural relaxation.

Formation energy from the elements   -0.127 eV per atom
Total magnetization   0.00 μB/atom

Cell: 4.224 4.224 4.224 Å, 60.00 60.00 60.00°
Fractional coordinates of all 4 atoms:
1 Mg 0.000 0.000 0.000
2 Ti 0.500 0.500 0.500
3 Fe 0.750 0.750 0.750
4 Ni 0.250 0.250 0.250

Entry 3:
Density functional theory data (GGA-PBE) for Ba2SeF2 after structural relaxation.

Total magnetization   0.00 μB/atom
Polymorph energy (0 for the lowest one)   0 meV per atom

Cell: 7.631 7.631 7.631 Å, 147.65 147.65 46.40°
Fractional coordinates of all 5 atoms:
1 Ba 0.136 0.136 0.000
2 Ba 0.864 0.864 0.000
3 Se 0.500 0.500 0.000
4 F 0.250 0.750 0.500
5 F 0.750 0.250 0.500

Entry 4:
Density functional theory data (GGA-PBE) for Ti2BiHRh after structural relaxation.

Total DFT energy (no corrections)   -6.391 eV/atom
Total magnetization   0.00 μB/atom

Cell: 4.203 4.203 4.092 Å, 90.00 90.00 90.00°
Fractional coordinates of all 5 atoms:
1 Ti 0.000 0.500 0.000
2 Ti 0.500 0.000 0.000
3 Bi 0.000 0.000 0.500
4 H 0.500 0.500 0.000
5 Rh 0.500 0.500 0.500

Entry 5:
Density functional theory data (GGA-PBE) for CaGa2Pt after structural relaxation.

Formation energy from the elements   -0.457 eV per atom
Total magnetization   0.00 μB/atom

Cell: 9.326 9.326 9.326 Å, 150.65 150.65 41.99°
Fractional coordinates of all 8 atoms:
1 Ca 0.000 0.000 0.000
2 Ca 0.750 0.250 0.500
3 Ga 0.305 0.625 0.180
4 Ga 0.375 0.555 0.680
5 Ga 0.445 0.125 0.820
6 Ga 0.875 0.695 0.320
7 Pt 0.250 0.750 0.500
8 Pt 0.500 0.500 0.000

Entry 6:
Density functional theory data (GGA-PBE) for Zn2NiPb after structural relaxation.

Formation energy from the elements   0.070 eV per atom
Total magnetization   0.00 μB/atom

Cell: 4.217 4.217 5.524 Å, 112.75 112.75 59.59°
Fractional coordinates of all 4 atoms:
1 Zn 0.000 0.000 0.000
2 Zn 0.737 0.737 0.212
3 Ni 0.390 0.390 0.167
4 Pb 0.199 0.199 0.607

Let's list calculated volume in order: 31.31; 13.32; 25.35; 14.45; 24.30; 18.96 Å³ per atom.